! Th3HgP | the Open Quantum Materials Database | PBE | optimized geometry; values from VASP
! Uncorrected energy, eV for the cell shown: -29.68
&SYSTEM
  ibrav = 0, nat = 5, ntyp = 3
/
ATOMIC_SPECIES
Hg 200.59 Hg.upf
P 30.97 P.upf
Th 232.04 Th.upf
CELL_PARAMETERS angstrom
5.406 0.000 0.000
0.000 5.406 0.000
0.000 0.000 5.406
ATOMIC_POSITIONS angstrom
Hg 0.000 0.000 0.000
P 2.703 2.703 2.703
Th 2.703 2.703 0.000
Th 2.703 0.000 2.703
Th 0.000 2.703 2.703